The following is a DFT calculation (PBE+U) of a relaxed structure of AcFe2GeO6.

a b c (Å): 5.287 5.288 5.775
angles (deg): 62.79 89.27 60.03
Space group P1 (No. 1)
Symmetry-distinct sites (fractional):
Ac 0.000 0.000 0.000
Fe 0.224 0.560 0.656
Fe 0.739 0.513 0.222
Ge 0.541 0.922 0.609
O 0.162 0.025 0.427
O 0.408 0.064 0.872
O 0.467 0.376 0.423
O 0.526 0.530 0.867
O 0.821 0.722 0.428
O 0.940 0.647 0.876

Values from the calculation:
**E_tot**: -6.76 eV/atom